1.
Below is crystalline AcPmTmIn at its relaxed geometry, with properties calculated at the PBE level. Values from VASP.

Quantum ESPRESSO input file:
```
&SYSTEM
  ibrav = 0, nat = 4, ntyp = 4
/
ATOMIC_SPECIES
Ac 227.00 Ac.upf
Pm 145.00 Pm.upf
Tm 168.93 Tm.upf
In 114.82 In.upf
CELL_PARAMETERS angstrom
5.625 0.000 0.000
2.813 4.871 0.000
2.813 1.624 4.593
ATOMIC_POSITIONS crystal
Ac 0.750 0.750 0.750
Pm 0.500 0.500 0.500
Tm 0.000 0.000 0.000
In 0.250 0.250 0.250
```

Energy relative to the elements in meV/atom: -38.2
Space group: F-43m

2.
Below is crystalline AcPmTm2In4 at its relaxed geometry, with properties calculated at the PBE level. Values from VASP.

Quantum ESPRESSO input file:
```
&SYSTEM
  ibrav = 0, nat = 8, ntyp = 4
/
ATOMIC_SPECIES
Ac 227.00 Ac.upf
In 114.82 In.upf
Pm 145.00 Pm.upf
Tm 168.93 Tm.upf
CELL_PARAMETERS angstrom
-3.007 -3.894 2.335
2.351 -4.616 1.680
1.255 0.828 9.347
ATOMIC_POSITIONS crystal
Ac 0.000 0.000 0.000
In 0.622 0.622 0.134
In 0.378 0.378 0.866
In 0.128 0.128 0.617
In 0.872 0.872 0.383
Pm 0.500 0.500 0.500
Tm 0.750 0.750 0.749
Tm 0.250 0.250 0.251
```

Energy relative to the elements in meV/atom: -413.0
Space group: R-3m

3.
Below is crystalline AcPmZnIn at its relaxed geometry, with properties calculated at the PBE level. Values from VASP.

Quantum ESPRESSO input file:
```
&SYSTEM
  ibrav = 0, nat = 4, ntyp = 4
/
ATOMIC_SPECIES
Pm 145.00 Pm.upf
Ac 227.00 Ac.upf
Zn 65.41 Zn.upf
In 114.82 In.upf
CELL_PARAMETERS angstrom
5.529 0.000 0.000
2.764 4.788 0.000
2.764 1.596 4.514
ATOMIC_POSITIONS crystal
Pm 0.750 0.750 0.750
Ac 0.250 0.250 0.250
Zn 0.000 0.000 0.000
In 0.500 0.500 0.500
```

Energy relative to the elements in meV/atom: -327.3
Space group: F-43m
Polymorph energy (0 for the lowest one) in meV per atom: 32

4.
Below is crystalline AcPmZnIn at its relaxed geometry, with properties calculated at the PBE level. Values from VASP.

Quantum ESPRESSO input file:
```
&SYSTEM
  ibrav = 0, nat = 4, ntyp = 4
/
ATOMIC_SPECIES
Zn 65.41 Zn.upf
Pm 145.00 Pm.upf
Ac 227.00 Ac.upf
In 114.82 In.upf
CELL_PARAMETERS angstrom
3.854 0.000 0.000
0.000 3.854 0.000
0.000 0.000 7.888
ATOMIC_POSITIONS crystal
Zn 0.500 0.500 0.578
Pm 0.000 0.000 0.377
Ac 0.000 0.000 0.841
In 0.500 0.500 0.133
```

Energy relative to the elements in meV/atom: -359.2
Space group: P4mm
Polymorph energy (0 for the lowest one) in meV per atom: 0

5.
Below is crystalline AcPr3In4 at its relaxed geometry, with properties calculated at the PBE level. Values from VASP.

Quantum ESPRESSO input file:
```
&SYSTEM
  ibrav = 0, nat = 16, ntyp = 3
/
ATOMIC_SPECIES
In 114.82 In.upf
Pr 140.91 Pr.upf
Ac 227.00 Ac.upf
CELL_PARAMETERS angstrom
5.605 0.000 0.000
0.000 7.893 0.000
0.000 0.000 11.208
ATOMIC_POSITIONS crystal
In 0.500 0.760 0.500
In 0.001 0.760 0.750
In 0.001 0.240 0.750
In 0.999 0.760 0.250
In 0.999 0.240 0.250
In 0.500 0.760 0.000
In 0.500 0.240 0.000
In 0.500 0.240 0.500
Pr 0.000 0.000 0.500
Pr 0.501 0.000 0.750
Pr 0.499 0.500 0.250
Pr 0.000 0.000 0.000
Pr 0.501 0.500 0.750
Pr 0.499 0.000 0.250
Ac 0.000 0.500 0.000
Ac 0.000 0.500 0.500
```

Energy relative to the elements in meV/atom: -464.3
Space group: Pmma

6.
Below is crystalline AcPrIn at its relaxed geometry, with properties calculated at the PBE level. Values from VASP.

Quantum ESPRESSO input file:
```
&SYSTEM
  ibrav = 0, nat = 3, ntyp = 3
/
ATOMIC_SPECIES
Ac 227.00 Ac.upf
Pr 140.91 Pr.upf
In 114.82 In.upf
CELL_PARAMETERS angstrom
5.514 0.000 0.000
2.757 4.775 0.000
2.757 1.592 4.502
ATOMIC_POSITIONS crystal
Ac 0.500 0.500 0.500
Pr 0.000 0.000 0.000
In 0.250 0.250 0.250
```

Energy relative to the elements in meV/atom: -112.8
Space group: F-43m
Polymorph energy (0 for the lowest one) in meV per atom: 189

7.
Below is crystalline AcPrIn at its relaxed geometry, with properties calculated at the PBE level. Values from VASP.

Quantum ESPRESSO input file:
```
&SYSTEM
  ibrav = 0, nat = 6, ntyp = 3
/
ATOMIC_SPECIES
In 114.82 In.upf
Pr 140.91 Pr.upf
Ac 227.00 Ac.upf
CELL_PARAMETERS angstrom
5.496 -0.001 0.089
2.746 4.762 0.060
-0.134 -0.030 7.986
ATOMIC_POSITIONS crystal
In 0.000 0.500 0.792
In 0.000 0.500 0.208
Pr 0.333 0.833 0.100
Pr 0.667 0.167 0.900
Ac 0.333 0.833 0.614
Ac 0.667 0.167 0.386
```

Energy relative to the elements in meV/atom: -216.5
Space group: C2/m
Polymorph energy (0 for the lowest one) in meV per atom: 85

8.
Below is crystalline Ac2PrIn at its relaxed geometry, with properties calculated at the PBE level. Values from VASP.

Quantum ESPRESSO input file:
```
&SYSTEM
  ibrav = 0, nat = 4, ntyp = 3
/
ATOMIC_SPECIES
In 114.82 In.upf
Ac 227.00 Ac.upf
Pr 140.91 Pr.upf
CELL_PARAMETERS angstrom
5.165 0.000 0.000
0.000 5.280 0.000
0.000 0.000 5.280
ATOMIC_POSITIONS crystal
In 0.500 0.000 0.000
Ac 0.000 0.500 0.000
Ac 0.000 0.000 0.500
Pr 0.500 0.500 0.500
```

Energy relative to the elements in meV/atom: -197.6
Space group: P4/mmm
Polymorph energy (0 for the lowest one) in meV per atom: 0

9.
Below is crystalline Ac3Pr4In4 at its relaxed geometry, with properties calculated at the PBE level. Values from VASP.

Quantum ESPRESSO input file:
```
&SYSTEM
  ibrav = 0, nat = 11, ntyp = 3
/
ATOMIC_SPECIES
In 114.82 In.upf
Pr 140.91 Pr.upf
Ac 227.00 Ac.upf
CELL_PARAMETERS angstrom
5.134 0.000 0.000
0.000 8.586 0.000
-2.567 -4.293 8.929
ATOMIC_POSITIONS crystal
In 0.219 0.719 0.438
In 0.781 0.281 0.562
In 0.500 0.818 0.000
In 0.500 0.182 0.000
Pr 0.670 0.469 0.339
Pr 0.670 0.870 0.339
Pr 0.330 0.531 0.661
Pr 0.330 0.130 0.661
Ac 0.114 0.114 0.229
Ac 0.886 0.886 0.771
Ac 0.000 0.500 0.000
```

Energy relative to the elements in meV/atom: -281.3
Space group: Immm

10.
Below is crystalline Ac8Pr2In at its relaxed geometry, with properties calculated at the PBE level. Values from VASP.

Quantum ESPRESSO input file:
```
&SYSTEM
  ibrav = 0, nat = 11, ntyp = 3
/
ATOMIC_SPECIES
In 114.82 In.upf
Pr 140.91 Pr.upf
Ac 227.00 Ac.upf
CELL_PARAMETERS angstrom
5.986 0.000 0.000
0.000 8.558 0.028
-2.993 -3.651 9.013
ATOMIC_POSITIONS crystal
In 0.500 0.000 0.000
Pr 0.191 0.660 0.382
Pr 0.809 0.340 0.618
Ac 0.664 0.923 0.328
Ac 0.179 0.227 0.358
Ac 0.018 0.767 0.037
Ac 0.607 0.433 0.213
Ac 0.821 0.773 0.642
Ac 0.393 0.567 0.787
Ac 0.336 0.077 0.672
Ac 0.982 0.233 0.963
```

Energy relative to the elements in meV/atom: 4.5
Space group: C2/m

11.
Below is crystalline AcPr5In6 at its relaxed geometry, with properties calculated at the PBE level. Values from VASP.

Quantum ESPRESSO input file:
```
&SYSTEM
  ibrav = 0, nat = 12, ntyp = 3
/
ATOMIC_SPECIES
Pr 140.91 Pr.upf
In 114.82 In.upf
Ac 227.00 Ac.upf
CELL_PARAMETERS angstrom
-3.520 2.568 3.472
-0.055 -0.946 9.591
5.298 5.932 5.457
ATOMIC_POSITIONS crystal
Pr 0.000 0.670 0.660
Pr 0.500 0.839 0.322
Pr 0.000 0.330 0.340
Pr 0.500 0.161 0.678
Pr 0.500 0.500 0.000
In 0.258 0.571 0.341
In 0.767 0.733 0.000
In 0.742 0.088 0.341
In 0.233 0.267 0.000
In 0.258 0.912 0.659
In 0.742 0.429 0.659
Ac 0.000 0.000 0.000
```

Energy relative to the elements in meV/atom: -474.0
Space group: Immm

12.
Below is crystalline AcPrIn2 at its relaxed geometry, with properties calculated at the PBE level. Values from VASP.

Quantum ESPRESSO input file:
```
&SYSTEM
  ibrav = 0, nat = 4, ntyp = 3
/
ATOMIC_SPECIES
Pr 140.91 Pr.upf
In 114.82 In.upf
Ac 227.00 Ac.upf
CELL_PARAMETERS angstrom
4.000 0.000 0.000
2.000 3.464 0.000
2.000 1.155 10.082
ATOMIC_POSITIONS crystal
Pr 0.500 0.500 0.500
In 0.754 0.754 0.739
In 0.246 0.246 0.261
Ac 0.000 0.000 0.000
```

Energy relative to the elements in meV/atom: -269.4
Space group: R-3m